No. 1
# PBE+U MnV2P2H8O14, relaxed
# * crystal system: triclinic
# * raw total energy: -0.221 Ha/atom
# * space group: No. 2
data_MnV2P2H8O14
_symmetry_space_group_name_H-M 'P 1'
_symmetry_Int_Tables_number 1
_cell_length_a 7.2107
_cell_length_b 6.8575
_cell_length_c 6.8632
_cell_angle_alpha 93.66
_cell_angle_beta 87.84
_cell_angle_gamma 91.94
loop_
_symmetry_equiv_pos_as_xyz
'x,y,z'
loop_
_atom_site_label
_atom_site_fract_x
_atom_site_fract_y
_atom_site_fract_z
Mn1 0.0000 0.0000 0.0000
V1 0.6959 0.8540 0.7130
V2 0.3041 0.1460 0.2870
P1 0.7589 0.0597 0.2988
P2 0.2411 0.9403 0.7012
H1 0.1729 0.7969 0.4145
H2 0.2885 0.7853 0.1612
H3 0.6854 0.4532 0.5555
H4 0.3037 0.4517 0.0963
H5 0.6963 0.5483 0.9037
H6 0.3146 0.5468 0.4445
H7 0.8271 0.2031 0.5855
H8 0.7114 0.2147 0.8388
O1 0.7467 0.8832 0.4421
O2 0.6133 0.5482 0.6453
O3 0.1966 0.7487 0.5516
O4 0.6044 0.4576 0.8327
O5 0.8024 0.1188 0.7860
O6 0.1726 0.2409 0.1142
O7 0.4435 0.9116 0.7725
O8 0.8274 0.7591 0.8858
O9 0.3956 0.5424 0.1673
O10 0.8034 0.2513 0.4484
O11 0.3867 0.4518 0.3547
O12 0.5565 0.0884 0.2275
O13 0.1976 0.8812 0.2140
O14 0.2533 0.1168 0.5579

---

No. 2
# PBE+U MnV2P2H8O14, relaxed
# * crystal system: triclinic
# * raw total energy: -0.221 Ha/atom
# * space group: No. 2
data_MnV2P2H8O14
_symmetry_space_group_name_H-M 'P 1'
_symmetry_Int_Tables_number 1
_cell_length_a 6.3071
_cell_length_b 7.4258
_cell_length_c 8.2890
_cell_angle_alpha 110.08
_cell_angle_beta 99.26
_cell_angle_gamma 81.17
loop_
_symmetry_equiv_pos_as_xyz
'x,y,z'
loop_
_atom_site_label
_atom_site_fract_x
_atom_site_fract_y
_atom_site_fract_z
Mn1 0.0000 0.0000 0.0000
V1 0.7869 0.5819 0.9116
V2 0.2131 0.4181 0.0884
P1 0.3578 0.8163 0.1239
P2 0.6422 0.1837 0.8761
H1 0.5545 0.9025 0.6630
H2 0.1318 0.3576 0.7499
H3 0.5159 0.6731 0.3968
H4 0.2976 0.1257 0.6031
H5 0.7024 0.8743 0.3969
H6 0.4841 0.3269 0.6032
H7 0.4455 0.0975 0.3370
H8 0.8682 0.6424 0.2501
O1 0.5022 0.7097 0.9762
O2 0.6278 0.7009 0.5024
O3 0.4849 0.0337 0.7288
O4 0.7939 0.7753 0.4442
O5 0.9223 0.5861 0.1339
O6 0.1367 0.2398 0.1445
O7 0.6557 0.3375 0.7808
O8 0.8633 0.7602 0.8555
O9 0.2061 0.2247 0.5558
O10 0.5151 0.9663 0.2712
O11 0.3722 0.2991 0.4976
O12 0.3443 0.6625 0.2192
O13 0.0777 0.4139 0.8661
O14 0.4978 0.2903 0.0238

---

No. 3
# PBE+U MnV2P2H8O14, relaxed
# * crystal system: tetragonal
# * raw total energy: -0.237 Ha/atom
# * space group: No. 87
data_MnV2P2H8O14
_symmetry_space_group_name_H-M 'P 1'
_symmetry_Int_Tables_number 1
_cell_length_a 8.1834
_cell_length_b 8.1834
_cell_length_c 8.1834
_cell_angle_alpha 134.29
_cell_angle_beta 134.29
_cell_angle_gamma 66.63
loop_
_symmetry_equiv_pos_as_xyz
'x,y,z'
loop_
_atom_site_label
_atom_site_fract_x
_atom_site_fract_y
_atom_site_fract_z
Mn1 0.0000 0.0000 0.0000
V1 0.7224 0.7224 0.0000
V2 0.2776 0.2776 0.0000
P1 0.2500 0.7500 0.5000
P2 0.7500 0.2500 0.5000
H1 0.3198 0.1189 0.5565
H2 0.5624 0.7633 0.4435
H3 0.1189 0.5624 0.7991
H4 0.7633 0.3198 0.2009
H5 0.6802 0.8811 0.4435
H6 0.4376 0.2367 0.5565
H7 0.8811 0.4376 0.2009
H8 0.2367 0.6802 0.7991
O1 0.9866 0.6666 0.2886
O2 0.3780 0.6981 0.7114
O3 0.6666 0.3780 0.6799
O4 0.6981 0.9866 0.3201
O5 0.0134 0.3334 0.7114
O6 0.6220 0.3019 0.2886
O7 0.3334 0.6220 0.3201
O8 0.3019 0.0134 0.6799
O9 0.8427 0.8427 0.0000
O10 0.1573 0.1573 0.0000
O11 0.2893 0.1879 0.4772
O12 0.7107 0.8121 0.5228
O13 0.1879 0.7107 0.8987
O14 0.8121 0.2893 0.1013

---

No. 4
# PBE+U PaMnH2O6, relaxed
# * crystal system: triclinic
# * raw total energy: -0.262 Ha/atom
# * space group: No. 2
data_PaMnH2O6
_symmetry_space_group_name_H-M 'P 1'
_symmetry_Int_Tables_number 1
_cell_length_a 5.3873
_cell_length_b 5.0110
_cell_length_c 5.9145
_cell_angle_alpha 87.56
_cell_angle_beta 120.28
_cell_angle_gamma 121.96
loop_
_symmetry_equiv_pos_as_xyz
'x,y,z'
loop_
_atom_site_label
_atom_site_fract_x
_atom_site_fract_y
_atom_site_fract_z
Pa1 0.9966 0.4978 0.4803
Mn1 0.9965 0.9977 0.9802
H1 0.3031 0.5984 0.1698
H2 0.6900 0.3971 0.7907
O1 0.5308 0.8965 0.7586
O2 0.4623 0.0992 0.2019
O3 0.8972 0.7831 0.2240
O4 0.1656 0.4009 0.2106
O5 0.8276 0.5946 0.7499
O6 0.0960 0.2124 0.7365

---

No. 5
# PBE+U PaMn2HO6, relaxed
# * crystal system: orthorhombic
# * raw total energy: -0.279 Ha/atom
# * space group: No. 44
data_PaMn2HO6
_symmetry_space_group_name_H-M 'P 1'
_symmetry_Int_Tables_number 1
_cell_length_a 5.4083
_cell_length_b 5.4078
_cell_length_c 5.4599
_cell_angle_alpha 59.68
_cell_angle_beta 59.67
_cell_angle_gamma 57.32
loop_
_symmetry_equiv_pos_as_xyz
'x,y,z'
loop_
_atom_site_label
_atom_site_fract_x
_atom_site_fract_y
_atom_site_fract_z
Pa1 0.7394 0.7929 0.7017
Mn1 0.5296 0.4958 0.4551
Mn2 0.0366 0.0027 0.9481
H1 0.0947 0.4375 0.2009
O1 0.7363 0.1679 0.2770
O2 0.3642 0.7960 0.1264
O3 0.9059 0.6264 0.2013
O4 0.3647 0.7958 0.6490
O5 0.7367 0.1679 0.7540
O6 0.1536 0.3787 0.7018

---

No. 6
# PBE+U MnV2HPb2O9, relaxed
# * crystal system: monoclinic
# * raw total energy: -0.250 Ha/atom
# * space group: No. 11
data_MnV2HPb2O9
_symmetry_space_group_name_H-M 'P 1'
_symmetry_Int_Tables_number 1
_cell_length_a 6.3797
_cell_length_b 7.7798
_cell_length_c 8.7537
_cell_angle_alpha 70.08
_cell_angle_beta 90.00
_cell_angle_gamma 90.00
loop_
_symmetry_equiv_pos_as_xyz
'x,y,z'
loop_
_atom_site_label
_atom_site_fract_x
_atom_site_fract_y
_atom_site_fract_z
Mn1 0.5000 0.0000 0.0000
Mn2 0.0000 0.0000 0.0000
V1 0.7500 0.0325 0.6645
V2 0.2500 0.9675 0.3355
V3 0.7500 0.4481 0.8279
V4 0.2500 0.5519 0.1721
H1 0.7500 0.7348 0.0300
H2 0.2500 0.2652 0.9700
Pb1 0.7500 0.2761 0.2509
Pb2 0.2500 0.7239 0.7491
Pb3 0.7500 0.6570 0.4322
Pb4 0.2500 0.3430 0.5678
O1 0.7500 0.8364 0.0774
O2 0.2500 0.1636 0.9226
O3 0.5200 0.9732 0.7881
O4 0.0200 0.0268 0.2119
O5 0.4800 0.0268 0.2119
O6 0.9800 0.9732 0.7881
O7 0.7500 0.9151 0.5326
O8 0.2500 0.0849 0.4674
O9 0.7500 0.2609 0.5479
O10 0.2500 0.7391 0.4521
O11 0.7500 0.5481 0.9747
O12 0.2500 0.4519 0.0253
O13 0.7500 0.2102 0.9317
O14 0.2500 0.7898 0.0683
O15 0.5319 0.5199 0.6978
O16 0.0319 0.4801 0.3022
O17 0.4681 0.4801 0.3022
O18 0.9681 0.5199 0.6978

---

No. 7
# PBE+U Pm2MnHO6, relaxed
# * crystal system: monoclinic
# * raw total energy: -0.255 Ha/atom
# * space group: No. 12
data_Pm2MnHO6
_symmetry_space_group_name_H-M 'P 1'
_symmetry_Int_Tables_number 1
_cell_length_a 5.3925
_cell_length_b 4.8654
_cell_length_c 5.6327
_cell_angle_alpha 115.59
_cell_angle_beta 121.41
_cell_angle_gamma 90.00
loop_
_symmetry_equiv_pos_as_xyz
'x,y,z'
loop_
_atom_site_label
_atom_site_fract_x
_atom_site_fract_y
_atom_site_fract_z
Pm1 0.2538 0.2637 0.5275
Pm2 0.7462 0.7363 0.4725
Mn1 0.0000 0.5000 0.0000
H1 0.5000 0.0000 0.0000
O1 0.3079 0.7250 0.4499
O2 0.2163 0.1962 0.9123
O3 0.7837 0.2839 0.0877
O4 0.2163 0.7161 0.9123
O5 0.7837 0.8038 0.0877
O6 0.6921 0.2750 0.5501

---

No. 8
# PBE+U Pr2MnHO6, relaxed
# * crystal system: monoclinic
# * raw total energy: -0.254 Ha/atom
# * space group: No. 12
data_Pr2MnHO6
_symmetry_space_group_name_H-M 'P 1'
_symmetry_Int_Tables_number 1
_cell_length_a 5.4127
_cell_length_b 4.9426
_cell_length_c 5.6594
_cell_angle_alpha 115.89
_cell_angle_beta 121.07
_cell_angle_gamma 90.00
loop_
_symmetry_equiv_pos_as_xyz
'x,y,z'
loop_
_atom_site_label
_atom_site_fract_x
_atom_site_fract_y
_atom_site_fract_z
Pr1 0.2541 0.2628 0.5256
Pr2 0.7459 0.7372 0.4744
Mn1 0.0000 0.5000 0.0000
H1 0.5000 0.0000 0.0000
O1 0.2977 0.7247 0.4494
O2 0.2226 0.2031 0.9252
O3 0.7774 0.2779 0.0748
O4 0.2226 0.7221 0.9252
O5 0.7774 0.7969 0.0748
O6 0.7023 0.2753 0.5506

---

No. 9
# PBE+U Mn2HPtO, relaxed
# * crystal system: tetragonal
# * raw total energy: -0.206 Ha/atom
# * space group: No. 123
data_Mn2HPtO
_symmetry_space_group_name_H-M 'P 1'
_symmetry_Int_Tables_number 1
_cell_length_a 4.9775
_cell_length_b 3.2973
_cell_length_c 4.9775
_cell_angle_alpha 90.00
_cell_angle_beta 90.00
_cell_angle_gamma 90.00
loop_
_symmetry_equiv_pos_as_xyz
'x,y,z'
loop_
_atom_site_label
_atom_site_fract_x
_atom_site_fract_y
_atom_site_fract_z
H1 0.0000 0.5000 0.0000
Mn1 0.0000 0.0000 0.5000
Mn2 0.5000 0.0000 0.0000
O1 0.5000 0.5000 0.5000
Pt1 0.0000 0.0000 0.0000

---

No. 10
# PBE+U PuMn2HO6, relaxed
# * crystal system: triclinic
# * raw total energy: -0.293 Ha/atom
# * space group: No. 1
data_PuMn2HO6
_symmetry_space_group_name_H-M 'P 1'
_symmetry_Int_Tables_number 1
_cell_length_a 5.1129
_cell_length_b 5.3814
_cell_length_c 5.7798
_cell_angle_alpha 61.65
_cell_angle_beta 87.30
_cell_angle_gamma 60.88
loop_
_symmetry_equiv_pos_as_xyz
'x,y,z'
loop_
_atom_site_label
_atom_site_fract_x
_atom_site_fract_y
_atom_site_fract_z
Pu1 0.3432 0.3372 0.9782
Mn1 0.7995 0.3943 0.4200
Mn2 0.0261 0.9772 0.0083
H1 0.4153 0.9066 0.7199
O1 0.7359 0.1815 0.2033
O2 0.3924 0.8606 0.2140
O3 0.0847 0.5321 0.2089
O4 0.2388 0.8766 0.7351
O5 0.6456 0.1670 0.7590
O6 0.9802 0.4285 0.7685

---

No. 11
# PBE+U PuMnH2O6, relaxed
# * crystal system: triclinic
# * raw total energy: -0.275 Ha/atom
# * space group: No. 1
data_PuMnH2O6
_symmetry_space_group_name_H-M 'P 1'
_symmetry_Int_Tables_number 1
_cell_length_a 5.3669
_cell_length_b 5.2906
_cell_length_c 5.3742
_cell_angle_alpha 63.69
_cell_angle_beta 64.60
_cell_angle_gamma 63.65
loop_
_symmetry_equiv_pos_as_xyz
'x,y,z'
loop_
_atom_site_label
_atom_site_fract_x
_atom_site_fract_y
_atom_site_fract_z
Pu1 0.2624 0.3049 0.0971
Mn1 0.7608 0.8306 0.5959
H1 0.7867 0.7876 0.1406
H2 0.3040 0.7891 0.6231
O1 0.4842 0.2300 0.3192
O2 0.0785 0.9875 0.4298
O3 0.9135 0.6647 0.2766
O4 0.4378 0.6685 0.7523
O5 0.5981 0.9904 0.9107
O6 0.0355 0.4084 0.8700

---

No. 12
# PBE+U Rb2MnH12S2O14, relaxed
# * crystal system: monoclinic
# * raw total energy: -0.201 Ha/atom
# * space group: No. 14
data_Rb2MnH12S2O14
_symmetry_space_group_name_H-M 'P 1'
_symmetry_Int_Tables_number 1
_cell_length_a 6.3577
_cell_length_b 9.3347
_cell_length_c 12.7226
_cell_angle_alpha 90.00
_cell_angle_beta 90.00
_cell_angle_gamma 104.89
loop_
_symmetry_equiv_pos_as_xyz
'x,y,z'
loop_
_atom_site_label
_atom_site_fract_x
_atom_site_fract_y
_atom_site_fract_z
Rb1 0.3426 0.6315 0.8503
Rb2 0.6574 0.8685 0.3503
Rb3 0.6574 0.3685 0.1497
Rb4 0.3426 0.1315 0.6497
Mn1 0.0000 0.5000 0.5000
Mn2 0.0000 0.0000 0.0000
H1 0.3260 0.7227 0.5962
H2 0.6740 0.7773 0.0962
H3 0.6740 0.2773 0.4038
H4 0.3260 0.2227 0.9038
H5 0.0938 0.7492 0.6288
H6 0.9062 0.7508 0.1288
H7 0.9062 0.2508 0.3712
H8 0.0938 0.2492 0.8712
H9 0.9173 0.2198 0.6040
H10 0.0827 0.2802 0.1040
H11 0.0827 0.7802 0.3960
H12 0.9173 0.7198 0.8960
H13 0.9806 0.3447 0.6917
H14 0.0194 0.1553 0.1917
H15 0.0194 0.6553 0.3083
H16 0.9806 0.8447 0.8083
H17 0.3404 0.3919 0.4316
H18 0.6596 0.1081 0.9316
H19 0.6596 0.6081 0.5684
H20 0.3404 0.8919 0.0684
H21 0.3285 0.5214 0.3526
H22 0.6715 0.9786 0.8526
H23 0.6715 0.4786 0.6474
H24 0.3285 0.0214 0.1474
S1 0.7278 0.9041 0.6403
S2 0.2722 0.5959 0.1403
S3 0.2722 0.0959 0.3597
S4 0.7278 0.4041 0.8597
O1 0.5879 0.9111 0.7336
O2 0.4121 0.5889 0.2336
O3 0.4121 0.0889 0.2664
O4 0.5879 0.4111 0.7664
O5 0.7678 0.0440 0.5789
O6 0.2322 0.4559 0.0789
O7 0.2322 0.9560 0.4211
O8 0.7678 0.5441 0.9211
O9 0.6080 0.7790 0.5712
O10 0.3920 0.7209 0.0712
O11 0.3920 0.2210 0.4288
O12 0.6080 0.2791 0.9288
O13 0.9394 0.8767 0.6756
O14 0.0606 0.6233 0.1757
O15 0.0606 0.1233 0.3244
O16 0.9394 0.3767 0.8243
O17 0.1725 0.6724 0.6147
O18 0.8275 0.8276 0.1147
O19 0.8275 0.3276 0.3853
O20 0.1725 0.1724 0.8853
O21 0.0128 0.3210 0.6180
O22 0.9872 0.1790 0.1180
O23 0.9872 0.6790 0.3820
O24 0.0128 0.8210 0.8820
O25 0.3004 0.4879 0.4269
O26 0.6996 0.0121 0.9269
O27 0.6996 0.5121 0.5731
O28 0.3004 0.9879 0.0731